(1)
The following is a PBE calculation of crystalline CdHN2 at its relaxed geometry, from Alexandria.

Summary:
Relative energy among the computed polymorphs, eV per atom: 0.252
Crystal system: tetragonal

abc: 3.785 3.785 5.944
angles: 71.43 71.43 90.00
Site moments in Bohr magnetons follow the coordinates.
Fractional coordinates of all 8 atoms:
Cd 0.000 0.000 0.000  0.02
Cd 0.750 0.250 0.500  0.02
H 0.500 0.500 0.000  -0.01
H 0.250 0.750 0.500  -0.01
N 0.875 0.690 0.750  0.15
N 0.375 0.560 0.750  0.15
N 0.440 0.125 0.250  0.15
N 0.310 0.625 0.250  0.15

---

(2)
The following is a PBE calculation of crystalline CdH3N at its relaxed geometry, from Alexandria.

Summary:
Relative energy among the computed polymorphs, eV per atom: 0.000
Crystal system: monoclinic

abc: 2.937 7.307 5.255
angles: 90.00 90.00 96.19
Fractional coordinates of all 10 atoms:
Cd 0.246 0.465 0.250
Cd 0.754 0.535 0.750
H 0.749 0.086 0.498
H 0.001 0.002 0.750
H 0.999 0.998 0.250
H 0.749 0.086 0.002
H 0.251 0.914 0.998
H 0.251 0.914 0.502
N 0.000 0.000 0.500
N 0.000 0.000 0.000

---

no.,electronic total energy (eV per atom),magnetic moment (μB/f.u.)
1,-3.73,0.4
2,-3.59,0.0